12
Lattice="7.1874 0.0000 0.0000 0.0000 7.1874 0.0000 0.0000 0.0000 7.1874" Properties=species:S:1:pos:R:3 comment="ZrCu PBE relaxed" e_form_ev_per_atom=1.190 spacegroup=Pm-3n pbc="T T T"
Zr 0.0000 3.5937 5.3906
Zr 1.7969 0.0000 3.5937
Zr 3.5937 1.7969 0.0000
Zr 0.0000 3.5937 1.7969
Zr 3.5937 5.3906 0.0000
Zr 5.3906 0.0000 3.5937
Cu 5.3906 3.5937 0.0000
Cu 0.0000 1.7969 3.5937
Cu 3.5937 0.0000 5.3906
Cu 0.0000 5.3906 3.5937
Cu 3.5937 0.0000 1.7969
Cu 1.7969 3.5937 0.0000



5
Lattice="-5.2332 1.7804 0.8554 -1.2395 -4.8460 2.5037 1.5379 2.1528 4.9283" Properties=species:S:1:pos:R:3 comment="CaPb3Cl PBE relaxed" spacegroup=Pm-3m relative_energy_mev_per_atom=0 pbc="T T T"
Cl 0.0000 0.0000 0.0000
Pb -2.6166 0.8902 0.4277
Pb -0.6197 -2.4230 1.2518
Pb 0.7690 1.0764 2.4642
Ca -2.4674 -0.4564 4.1437



4
Lattice="-1.9992 2.0729 -0.7265 -1.8938 -1.1294 1.9899 2.3172 3.7545 4.3364" Properties=species:S:1:pos:R:3 comment="ScFe3 PBE relaxed" e_form_ev_per_atom=0.044 spacegroup=P4/mmm pbc="T T T"
Fe 1.2508 2.0266 2.3407
Fe 2.2250 3.6052 4.1639
Fe -0.2086 3.2877 3.8840
Sc -1.3672 1.4104 1.7158



4
Lattice="-0.3514 -3.1661 -5.2755 4.1100 -4.3694 -1.4124 -3.6070 1.7053 4.6968" Properties=species:S:1:pos:R:3 comment="KZr2Au PBE relaxed" e_form_ev_per_atom=0.559 spacegroup=I4/mmm relative_energy_mev_per_atom=599 pbc="T T T"
Au 1.1912 -3.2159 -0.0298
K -1.0395 -2.6143 -1.9613
Zr 1.8793 -3.7678 -3.3439
Zr 0.0000 0.0000 0.0000